This record from Alexandria via LeMat-Bulk describes an optimized crystal structure of Hf8ZrSn2. The functional is PBE-GGA.

Summary:
Formation energy: 0.02 eV/atom
Space-group type: C2/m (12)
VASP energy: -95.91 eV/cell

Cell: 5.3220 7.8785 7.8785 Å, 120.18 103.22 103.22°
With the nearest neighbours (Å) after each atom.
Sites, in units of the cell vectors:
Hf1 0.1500 0.0989 0.3187  5 Hf 2.92-3.25, 2 Sn 2.99-3.03
Hf2 0.8500 0.6813 0.9011  5 Hf 2.92-3.25, 2 Sn 2.99-3.03
Hf3 0.1500 0.3187 0.0989  5 Hf 2.92-3.25, 2 Sn 2.99-3.03
Hf4 0.3026 0.5926 0.5926  6 Hf 2.86-3.12, 1 Zr 2.87, 2 Sn 3.04
Hf5 0.5000 0.7861 0.2139  1 Zr 2.92, 2 Sn 2.93, 2 Hf 3.25
Hf6 0.5000 0.2139 0.7861  1 Zr 2.92, 2 Sn 2.93, 2 Hf 3.25
Hf7 0.8500 0.9011 0.6813  5 Hf 2.92-3.25, 2 Sn 2.99-3.03
Hf8 0.6974 0.4074 0.4074  6 Hf 2.86-3.12, 1 Zr 2.87, 2 Sn 3.04
Sn1 0.0000 0.6960 0.3040  8 Hf 2.93-3.04
Sn2 0.0000 0.3040 0.6960  8 Hf 2.93-3.04
Zr1 0.5000 0.0000 0.0000  4 Hf 2.87-2.92